# 1
Entry from Alexandria: an optimized crystal structure of Ga2BiS6 (GGA-PBE).

Structure (extended XYZ):
```
18
Lattice="7.5353 -5.7746 0.0000 7.5353 5.7746 0.0000 -1.8873 0.0000 6.5876" Properties=species:S:1:pos:R:3 pbc="T T T"
Ga 3.2150 0.6371 1.5837
Ga 2.2713 -0.6371 4.8775
Ga 10.9119 0.6371 1.7101
Ga 9.9683 -0.6371 5.0039
Bi 6.1198 1.0635 4.9407
Bi 7.0634 -1.0635 1.6469
S 2.6468 2.9329 5.9516
S 1.7684 0.8796 3.2950
S 2.7121 -0.8796 0.0012
S 5.4580 0.8722 2.2064
S 9.5928 2.9329 3.9298
S 4.5143 -0.8722 5.5002
S 8.6689 0.8722 1.0874
S 3.5905 -2.9329 2.6578
S 7.7253 -0.8722 4.3812
S 10.4712 0.8796 6.5864
S 11.4148 -0.8796 3.2926
S 10.5364 -2.9329 0.6360
```

Properties
The total energy is -37.6 eV/f.u. As for the uncorrected formation energy: -325 meV per atom.

***

# 2
Entry from Alexandria: an optimized crystal structure of GaBi2S (GGA-PBE).

Structure (extended XYZ):
```
4
Lattice="0.0000 3.6480 3.6480 3.6480 0.0000 3.6480 3.6480 3.6480 0.0000" Properties=species:S:1:pos:R:3 pbc="T T T"
Ga 0.0000 0.0000 0.0000
Bi 1.8240 1.8240 1.8240
Bi 5.4720 5.4720 5.4720
S 3.6480 3.6480 3.6480
```

Properties
The total energy is -14.3 eV/f.u. As for the uncorrected formation energy: 153 meV per atom. The value obtained for the relative energy among the computed polymorphs is 0 meV per atom.

***

# 3
Entry from Alexandria: an optimized crystal structure of GaBi2S5 (GGA-PBE).

Structure (extended XYZ):
```
16
Lattice="2.7465 -6.7353 0.0000 2.7465 6.7353 0.0000 0.0000 0.0000 11.9472" Properties=species:S:1:pos:R:3 pbc="T T T"
Ga 2.7465 4.1251 8.9604
Ga 2.7465 -4.1251 2.9868
Bi 2.7465 4.7025 0.7915
Bi 2.7465 4.7025 5.1821
Bi 2.7465 -4.7025 6.7651
Bi 2.7465 -4.7025 11.1557
S 2.7465 6.0670 7.5390
S 2.7465 6.0670 10.3819
S 2.7465 2.9772 2.9868
S 2.7465 2.6055 7.0829
S 2.7465 2.6055 10.8379
S 2.7465 -2.6055 1.1093
S 2.7465 -2.6055 4.8643
S 2.7465 -2.9772 8.9604
S 2.7465 -6.0670 1.5653
S 2.7465 -6.0670 4.4083
```

Properties
The total energy is -33.0 eV/f.u. As for the uncorrected formation energy: -198 meV per atom.

***

# 4
Entry from Alexandria: an optimized crystal structure of GaBi2S6 (GGA-PBE).

Structure (extended XYZ):
```
18
Lattice="6.1842 0.0000 0.0000 0.0000 6.1842 0.0000 0.0000 0.0000 11.9520" Properties=species:S:1:pos:R:3 pbc="T T T"
Ga 0.0000 0.0000 0.0000
Ga 3.0921 3.0921 5.9760
Bi 0.0000 0.0000 3.9868
Bi 0.0000 0.0000 7.9652
Bi 3.0921 3.0921 1.9892
Bi 3.0921 3.0921 9.9628
S 1.1485 1.1485 1.8133
S 1.1485 1.1485 10.1387
S 1.3288 1.3288 5.9760
S 1.7632 4.4209 0.0000
S 1.9436 4.2406 4.1627
S 1.9436 4.2406 7.7893
S 4.2406 1.9436 4.1627
S 4.2406 1.9436 7.7893
S 4.4209 1.7632 0.0000
S 4.8553 4.8553 5.9760
S 5.0357 5.0357 1.8133
S 5.0357 5.0357 10.1387
```

Properties
The total energy is -35.2 eV/f.u. As for the uncorrected formation energy: 41 meV per atom.

***

# 5
Entry from Alexandria: an optimized crystal structure of Ga2Bi2S7 (GGA-PBE).

Structure (extended XYZ):
```
11
Lattice="4.0678 -5.7926 0.0000 4.0678 5.7926 0.0000 -2.3615 0.0000 6.1619" Properties=species:S:1:pos:R:3 pbc="T T T"
Ga 1.1003 0.0000 2.2746
Ga 4.6739 0.0000 3.8873
Bi 4.0678 2.1816 0.0000
Bi 4.0678 -2.1816 0.0000
S -1.1808 0.0000 3.0809
S 1.7233 2.0233 1.5905
S 0.7205 0.0000 4.5990
S 1.7233 -2.0233 1.5905
S 4.0509 2.0233 4.5714
S 5.0537 0.0000 1.5629
S 4.0509 -2.0233 4.5714
```

Properties
The total energy is -45.9 eV/f.u. As for the uncorrected formation energy: -287 meV per atom.

***

# 6
Entry from Alexandria: an optimized crystal structure of Ga2Bi2S (GGA-PBE).

Structure (extended XYZ):
```
10
Lattice="6.4691 0.0000 0.0000 0.0000 6.4691 0.0000 0.0000 0.0000 6.0782" Properties=species:S:1:pos:R:3 pbc="T T T"
Ga 0.9070 2.3276 0.0000
Ga 2.3276 5.5622 0.0000
Ga 4.1415 0.9070 0.0000
Ga 5.5622 4.1415 0.0000
Bi 1.2893 1.9452 3.0391
Bi 1.9452 5.1798 3.0391
Bi 4.5239 1.2893 3.0391
Bi 5.1798 4.5239 3.0391
S 0.0000 0.0000 0.0000
S 3.2346 3.2346 0.0000
```

Properties
The total energy is -17.9 eV/f.u. As for the uncorrected formation energy: -1 meV per atom. The value obtained for the relative energy among the computed polymorphs is 0 meV per atom.